(1)
DFT (PBE) results for a relaxed PuNpNi2 crystal.

The structure in POSCAR format:
```
PuNpNi2
1.0
-0.942 2.707 3.755
-0.370 -1.952 4.286
3.307 0.775 3.242
Ni Pu Np
2 1 1
direct
0.750 0.750 0.749
0.250 0.250 0.251
0.500 0.500 0.500
0.000 0.000 0.000
```

Summary:
polymorph energy (0 for the lowest one) = 0.0228 eV per atom


(2)
DFT (PBE) results for a relaxed Hf2ThMnC4 crystal.

The structure in POSCAR format:
```
Hf2ThMnC4
1.0
3.346 0.000 0.000
-1.673 5.721 0.000
0.000 0.000 11.176
Mn C Th Hf
2 8 2 4
direct
0.830 0.661 0.750
0.170 0.339 0.250
0.737 0.474 0.621
0.583 0.165 0.250
0.737 0.474 0.879
0.263 0.526 0.379
0.263 0.526 0.121
0.000 0.000 0.500
0.000 0.000 0.000
0.417 0.835 0.750
0.907 0.814 0.250
0.093 0.186 0.750
0.369 0.739 0.545
0.369 0.739 0.955
0.631 0.261 0.045
0.631 0.261 0.455
```


(3)
DFT (PBE) results for a relaxed ErAlPb2S5 crystal.

The structure in POSCAR format:
```
ErAlPb2S5
1.0
3.899 0.000 0.000
-1.950 8.827 0.000
0.000 0.000 12.825
S Pb Er Al
10 4 2 2
direct
0.705 0.409 0.175
0.320 0.639 0.383
0.039 0.079 0.024
0.961 0.921 0.524
0.350 0.701 0.015
0.680 0.361 0.883
0.491 0.982 0.777
0.650 0.299 0.515
0.509 0.018 0.277
0.295 0.591 0.675
0.878 0.756 0.826
0.131 0.262 0.670
0.122 0.244 0.326
0.869 0.738 0.170
0.200 0.399 0.029
0.800 0.601 0.529
0.555 0.110 0.926
0.445 0.890 0.426
```

Summary:
E_form (uncorrected) = -1117 meV per atom


Taking the records one at a time from the top gives size of the total moment values of 9.32; 0.00; 0.00 μB per cell.
Taking the records one at a time from the top gives uncorrected energy values of -9.60; -9.66; -5.16 eV per atom.